(1)
VASP calculation (PBE) on a relaxed structure of BaIn2Hg7.

Summary:
* size of the total moment: 0.00 Bohr magnetons per cell
* crystal system: orthorhombic
* energy of formation: -0.757 eV/f.u.
* VASP energy: -1.0269 eV/atom
* N(E_F): 3.0 states/eV/f.u.

Structure (CIF):
```
data_BaIn2Hg7
_cell_length_a 10.473
_cell_length_b 12.581
_cell_length_c 4.872
_cell_angle_alpha 90.00
_cell_angle_beta 90.00
_cell_angle_gamma 90.00
_symmetry_space_group_name_H-M 'C m m m'
_symmetry_Int_Tables_number 65
_symmetry_space_group_name_Hall '-C 2 2'
loop_
_atom_site_label
_atom_site_type_symbol
_atom_site_fract_x
_atom_site_fract_y
_atom_site_fract_z
_atom_site_occupancy
Ba1 Ba 0.000 0.000 0.000 1
In1 In 0.000 0.236 0.500 1
Hg1 Hg 0.000 0.360 0.000 1
Hg2 Hg 0.000 0.500 0.500 1
Hg3 Hg 0.243 0.120 0.500 1
```

***

(2)
VASP calculation (PBE) on a relaxed structure of Ba3In9Hg2.

Summary:
* size of the total moment: 0.00 Bohr magnetons per cell
* crystal system: orthorhombic
* energy of formation: -5.055 eV/f.u.
* VASP energy: -2.5766 eV/atom
* N(E_F): 4.8 states/eV/f.u.

Structure (CIF):
```
data_Ba3In9Hg2
_cell_length_a 5.078
_cell_length_b 11.353
_cell_length_c 14.851
_cell_angle_alpha 90.00
_cell_angle_beta 90.00
_cell_angle_gamma 90.00
_symmetry_space_group_name_H-M 'I m m m'
_symmetry_Int_Tables_number 71
_symmetry_space_group_name_Hall '-I 2 2'
loop_
_atom_site_label
_atom_site_type_symbol
_atom_site_fract_x
_atom_site_fract_y
_atom_site_fract_z
_atom_site_occupancy
Ba1 Ba 0.000 0.000 0.000 1
Ba2 Ba 0.000 0.000 0.313 1
In1 In 0.000 0.274 0.147 1
In2 In 0.000 0.369 0.341 1
In3 In 0.000 0.500 0.000 1
Hg1 Hg 0.000 0.190 0.500 1
```

***

(3)
VASP calculation (PBE) on a relaxed structure of BaInHg2.

Summary:
* size of the total moment: 0.00 Bohr magnetons per cell
* crystal system: trigonal
* energy of formation: -1.026 eV/f.u.
* VASP energy: -1.5727 eV/atom
* N(E_F): 2.1 states/eV/f.u.

Structure (CIF):
```
data_BaInHg2
_cell_length_a 4.9036
_cell_length_b 4.9036
_cell_length_c 20.8439
_cell_angle_alpha 90.00
_cell_angle_beta 90.00
_cell_angle_gamma 120.00
_symmetry_space_group_name_H-M 'R 3 m'
_symmetry_Int_Tables_number 160
_symmetry_space_group_name_Hall 'R 3 -2"'
loop_
_atom_site_label
_atom_site_type_symbol
_atom_site_fract_x
_atom_site_fract_y
_atom_site_fract_z
_atom_site_occupancy
Ba1 Ba 0.0000 0.0000 0.0000 1
In1 In 0.0000 0.0000 0.1871 1
Hg1 Hg 0.0000 0.0000 0.4295 1
Hg2 Hg 0.0000 0.0000 0.5717 1
```

***

(4)
VASP calculation (PBE) on a relaxed structure of BaIn4Hg8.

Summary:
* size of the total moment: 0.00 Bohr magnetons per cell
* crystal system: tetragonal
* energy of formation: -1.555 eV/f.u.
* VASP energy: -1.2958 eV/atom
* N(E_F): 5.5 states/eV/f.u.

Structure (CIF):
```
data_BaIn4Hg8
_cell_length_a 10.654
_cell_length_b 10.654
_cell_length_c 6.355
_cell_angle_alpha 90.00
_cell_angle_beta 90.00
_cell_angle_gamma 90.00
_symmetry_space_group_name_H-M 'I 4/m m m'
_symmetry_Int_Tables_number 139
_symmetry_space_group_name_Hall '-I 4 2'
loop_
_atom_site_label
_atom_site_type_symbol
_atom_site_fract_x
_atom_site_fract_y
_atom_site_fract_z
_atom_site_occupancy
Ba1 Ba 0.000 0.000 0.000 1
In1 In 0.250 0.250 0.250 1
Hg1 Hg 0.000 0.211 0.500 1
Hg2 Hg 0.000 0.354 0.000 1
```

***

(5)
VASP calculation (PBE) on a relaxed structure of BaIn2Hg.

Summary:
* size of the total moment: 0.00 Bohr magnetons per cell
* crystal system: orthorhombic
* energy of formation: -1.572 eV/f.u.
* VASP energy: -2.3183 eV/atom
* N(E_F): 2.3 states/eV/f.u.

Structure (CIF):
```
data_BaIn2Hg
_cell_length_a 5.045
_cell_length_b 18.967
_cell_length_c 10.522
_cell_angle_alpha 90.00
_cell_angle_beta 90.00
_cell_angle_gamma 90.00
_symmetry_space_group_name_H-M 'C m c m'
_symmetry_Int_Tables_number 63
_symmetry_space_group_name_Hall '-C 2c 2'
loop_
_atom_site_label
_atom_site_type_symbol
_atom_site_fract_x
_atom_site_fract_y
_atom_site_fract_z
_atom_site_occupancy
Ba1 Ba 0.000 0.000 0.000 1
Ba2 Ba 0.000 0.201 0.250 1
In1 In 0.000 0.189 0.606 1
In2 In 0.000 0.402 0.250 1
In3 In 0.000 0.443 0.750 1
Hg1 Hg 0.000 0.352 0.525 1
```

***

(6)
VASP calculation (PBE) on a relaxed structure of Ba2In2Hg5.

Summary:
* size of the total moment: 0.00 Bohr magnetons per cell
* crystal system: tetragonal
* energy of formation: -2.847 eV/f.u.
* VASP energy: -1.5198 eV/atom
* N(E_F): 4.4 states/eV/f.u.

Structure (CIF):
```
data_Ba2In2Hg5
_cell_length_a 5.151
_cell_length_b 5.151
_cell_length_c 10.809
_cell_angle_alpha 90.00
_cell_angle_beta 90.00
_cell_angle_gamma 90.00
_symmetry_space_group_name_H-M 'P 4/m m m'
_symmetry_Int_Tables_number 123
_symmetry_space_group_name_Hall '-P 4 2'
loop_
_atom_site_label
_atom_site_type_symbol
_atom_site_fract_x
_atom_site_fract_y
_atom_site_fract_z
_atom_site_occupancy
Ba1 Ba 0.000 0.000 0.000 1
Ba2 Ba 0.000 0.000 0.500 1
In1 In 0.500 0.500 0.135 1
Hg1 Hg 0.000 0.500 0.271 1
Hg2 Hg 0.500 0.500 0.500 1
```

***

(7)
VASP calculation (PBE) on a relaxed structure of BaIn8Hg2.

Summary:
* size of the total moment: 0.00 Bohr magnetons per cell
* excess energy over the best structure of this formula in the dataset: 103.1 meV per atom
* crystal system: tetragonal
* energy of formation: 0.490 eV/f.u.
* VASP energy: -2.1767 eV/atom
* N(E_F): 7.9 states/eV/f.u.

Structure (CIF):
```
data_BaIn8Hg2
_cell_length_a 7.630
_cell_length_b 7.630
_cell_length_c 6.257
_cell_angle_alpha 90.00
_cell_angle_beta 90.00
_cell_angle_gamma 90.00
_symmetry_space_group_name_H-M 'P 4/m m m'
_symmetry_Int_Tables_number 123
_symmetry_space_group_name_Hall '-P 4 2'
loop_
_atom_site_label
_atom_site_type_symbol
_atom_site_fract_x
_atom_site_fract_y
_atom_site_fract_z
_atom_site_occupancy
Ba1 Ba 0.000 0.000 0.000 1
In1 In 0.299 0.299 0.247 1
Hg1 Hg 0.000 0.500 0.500 1
```

***

(8)
VASP calculation (PBE) on a relaxed structure of Ba5In4Hg.

Summary:
* size of the total moment: 0.00 Bohr magnetons per cell
* crystal system: tetragonal
* energy of formation: -4.199 eV/f.u.
* VASP energy: -2.5068 eV/atom
* N(E_F): 7.6 states/eV/f.u.

Structure (CIF):
```
data_Ba5In4Hg
_cell_length_a 4.266
_cell_length_b 4.266
_cell_length_c 21.305
_cell_angle_alpha 90.00
_cell_angle_beta 90.00
_cell_angle_gamma 90.00
_symmetry_space_group_name_H-M 'P 4/m m m'
_symmetry_Int_Tables_number 123
_symmetry_space_group_name_Hall '-P 4 2'
loop_
_atom_site_label
_atom_site_type_symbol
_atom_site_fract_x
_atom_site_fract_y
_atom_site_fract_z
_atom_site_occupancy
Ba1 Ba 0.000 0.000 0.000 1
Ba2 Ba 0.000 0.000 0.201 1
Ba3 Ba 0.000 0.000 0.401 1
In1 In 0.500 0.500 0.101 1
In2 In 0.500 0.500 0.300 1
Hg1 Hg 0.500 0.500 0.500 1
```